ZrTlP2S: single point on PBEsol structure, SCAN.

For the raw formation energy, the calculation gives 1.01 eV per atom. The total magnetization comes out at 0.00 μB/f.u. As for the total DFT energy (no corrections): -25.690 eV/atom.

The structure belongs to space group P4/mmm (No. 123); the cell edges are 4.866, 4.866 and 4.907 Å and the angles 90.00°, 90.00° and 90.00°. The inequivalent atoms are Zr at (0.000, 0.000, 0.000), Tl at (0.500, 0.500, 0.500), P at (0.000, 0.500, 0.500) and S at (0.500, 0.500, 0.000).